1.
# Ba9NaAu3 PBE-GGA optimized geometry
data_Ba9NaAu3
_chemical_formula_sum 'Ba18 Na2 Au6'
_cell_length_a 8.100
_cell_length_b 12.406
_cell_length_c 14.049
_cell_angle_alpha 90.00
_cell_angle_beta 97.42
_cell_angle_gamma 90.00
_symmetry_space_group_name_H-M 'P 1 21/m 1'
_symmetry_Int_Tables_number 11
loop_
_symmetry_equiv_pos_as_xyz
'x,y,z'
'-x,-y,-z'
'-x,y+1/2,-z'
'x,-y+1/2,z'
loop_
_atom_site_label
_atom_site_type_symbol
_atom_site_fract_x
_atom_site_fract_y
_atom_site_fract_z
Ba1 Ba 0.069 0.250 0.197
Ba2 Ba 0.147 0.570 0.376
Ba3 Ba 0.215 0.250 0.848
Ba4 Ba 0.247 0.555 0.054
Ba5 Ba 0.344 0.250 0.522
Ba6 Ba 0.359 0.565 0.697
Na1 Na 0.500 0.250 0.091
Au1 Au 0.071 0.000 0.832
Au2 Au 0.500 0.000 0.500
# Energy relative to the elements ... -4.34 eV per formula unit
# Calculated volume ... 53.845 Å³ per atom
# Raw total energy ... -65.59 eV per cell


2.
# ZrAs3Ru PBE-GGA optimized geometry
data_ZrAs3Ru
_chemical_formula_sum 'Zr1 As3 Ru1'
_cell_length_a 5.113
_cell_length_b 5.113
_cell_length_c 5.113
_cell_angle_alpha 90.00
_cell_angle_beta 90.00
_cell_angle_gamma 90.00
_symmetry_space_group_name_H-M 'P m -3 m'
_symmetry_Int_Tables_number 221
_symmetry_space_group_name_Hall '-P 4 2 3'
loop_
_atom_site_label
_atom_site_type_symbol
_atom_site_fract_x
_atom_site_fract_y
_atom_site_fract_z
Zr1 Zr 0.000 0.000 0.000
As1 As 0.000 0.000 0.500
Ru1 Ru 0.500 0.500 0.500
# Energy relative to the elements ... 4.83 eV per formula unit
# Calculated volume ... 26.738 Å³ per atom
# Offset from the most stable computed form ... 2.73 eV per formula unit
# Raw total energy ... -26.94 eV per cell


3.
# Ac3DyGe4 PBE-GGA optimized geometry
data_Ac3DyGe4
_chemical_formula_sum 'Ac6 Dy2 Ge8'
_cell_length_a 6.189
_cell_length_b 12.808
_cell_length_c 6.369
_cell_angle_alpha 90.00
_cell_angle_beta 90.00
_cell_angle_gamma 90.00
_symmetry_space_group_name_H-M 'P m m n'
_symmetry_Int_Tables_number 59
loop_
_symmetry_equiv_pos_as_xyz
'x,y,z'
'-x,-y,-z'
'-x+1/2,-y+1/2,z'
'x+1/2,y+1/2,-z'
'x+1/2,-y,-z'
'-x+1/2,y,z'
'-x,y+1/2,-z'
'x,-y+1/2,z'
loop_
_atom_site_label
_atom_site_type_symbol
_atom_site_fract_x
_atom_site_fract_y
_atom_site_fract_z
Ac1 Ac 0.250 0.001 0.217
Ac2 Ac 0.250 0.750 0.697
Dy1 Dy 0.250 0.250 0.755
Ge1 Ge 0.250 0.024 0.706
Ge2 Ge 0.250 0.250 0.239
Ge3 Ge 0.250 0.750 0.195
# Energy relative to the elements ... -4.25 eV per formula unit
# Calculated volume ... 31.556 Å³ per atom
# Raw total energy ... -79.30 eV per cell


4.
# CsBa2VCl8 PBE-GGA optimized geometry
data_CsBa2VCl8
_chemical_formula_sum 'Cs1 Ba2 V1 Cl8'
_cell_length_a 6.688
_cell_length_b 7.501
_cell_length_c 8.971
_cell_angle_alpha 68.93
_cell_angle_beta 89.97
_cell_angle_gamma 89.86
_symmetry_space_group_name_H-M 'P -1'
_symmetry_Int_Tables_number 2
loop_
_symmetry_equiv_pos_as_xyz
'x,y,z'
'-x,-y,-z'
loop_
_atom_site_label
_atom_site_type_symbol
_atom_site_fract_x
_atom_site_fract_y
_atom_site_fract_z
Cs1 Cs 0.000 0.000 0.000
Ba1 Ba 0.500 0.452 0.269
V1 V 0.000 0.500 0.500
Cl1 Cl 0.000 0.459 0.244
Cl2 Cl 0.249 0.740 0.403
Cl3 Cl 0.250 0.260 0.597
Cl4 Cl 0.499 0.775 0.948
# Uncorrected formation energy ... -2.00 eV per atom
# Calculated volume ... 34.999 Å³ per atom
# Raw total energy ... -52.62 eV per cell


5.
# CuMoRh2 PBE-GGA optimized geometry
data_CuMoRh2
_chemical_formula_sum 'Cu2 Mo2 Rh4'
_cell_length_a 5.555
_cell_length_b 7.396
_cell_length_c 2.766
_cell_angle_alpha 90.00
_cell_angle_beta 90.00
_cell_angle_gamma 90.00
_symmetry_space_group_name_H-M 'C m m m'
_symmetry_Int_Tables_number 65
_symmetry_space_group_name_Hall '-C 2 2'
loop_
_atom_site_label
_atom_site_type_symbol
_atom_site_fract_x
_atom_site_fract_y
_atom_site_fract_z
Cu1 Cu 0.000 0.000 0.000
Mo1 Mo 0.000 0.500 0.000
Rh1 Rh 0.250 0.250 0.500
# Energy relative to the elements ... 0.09 eV per formula unit
# Calculated volume ... 14.205 Å³ per atom
# Offset from the most stable computed form ... 0.63 eV per formula unit
# Raw total energy ... -59.07 eV per cell


6.
# La2AlI PBE-GGA optimized geometry
data_La2AlI
_chemical_formula_sum 'La6 Al3 I3'
_cell_length_a 4.0181
_cell_length_b 4.0181
_cell_length_c 27.7452
_cell_angle_alpha 90.00
_cell_angle_beta 90.00
_cell_angle_gamma 120.00
_symmetry_space_group_name_H-M 'R 3 m'
_symmetry_Int_Tables_number 160
_symmetry_space_group_name_Hall 'R 3 -2"'
loop_
_atom_site_label
_atom_site_type_symbol
_atom_site_fract_x
_atom_site_fract_y
_atom_site_fract_z
La1 La 0.0000 0.0000 0.0000
La2 La 0.0000 0.0000 0.1801
Al1 Al 0.0000 0.0000 0.5902
I1 I 0.0000 0.0000 0.4231
# Uncorrected formation energy ... -0.63 eV per atom
# Calculated volume ... 32.327 Å³ per atom
# Offset from the most stable computed form ... 0.15 eV per formula unit
# Raw total energy ... -53.02 eV per cell


7.
# RbAg2Pd PBE-GGA optimized geometry
data_RbAg2Pd
_chemical_formula_sum 'Rb2 Ag4 Pd2'
_cell_length_a 8.269
_cell_length_b 4.773
_cell_length_c 6.608
_cell_angle_alpha 90.00
_cell_angle_beta 114.26
_cell_angle_gamma 90.00
_symmetry_space_group_name_H-M 'C 1 m 1'
_symmetry_Int_Tables_number 8
loop_
_symmetry_equiv_pos_as_xyz
'x,y,z'
'x,-y,z'
'x+1/2,y+1/2,z'
'x+1/2,-y+1/2,z'
loop_
_atom_site_label
_atom_site_type_symbol
_atom_site_fract_x
_atom_site_fract_y
_atom_site_fract_z
Rb1 Rb 0.000 0.000 0.000
Ag1 Ag 0.005 0.500 0.509
Ag2 Ag 0.321 0.500 0.457
Pd1 Pd 0.180 0.000 0.536
# Energy relative to the elements ... 0.03 eV per formula unit
# Calculated volume ... 29.722 Å³ per atom
# Offset from the most stable computed form ... 0.00 eV per formula unit
# Raw total energy ... -23.66 eV per cell


8.
# LaPu2MgO8 PBE-GGA optimized geometry
data_LaPu2MgO8
_chemical_formula_sum 'La2 Pu4 Mg2 O16'
_cell_length_a 5.378
_cell_length_b 5.378
_cell_length_c 10.571
_cell_angle_alpha 90.00
_cell_angle_beta 90.00
_cell_angle_gamma 90.00
_symmetry_space_group_name_H-M 'I -4'
_symmetry_Int_Tables_number 82
loop_
_symmetry_equiv_pos_as_xyz
'x,y,z'
'y,-x,-z'
'-x,-y,z'
'-y,x,-z'
'x+1/2,y+1/2,z+1/2'
'y+1/2,-x+1/2,-z+1/2'
'-x+1/2,-y+1/2,z+1/2'
'-y+1/2,x+1/2,-z+1/2'
loop_
_atom_site_label
_atom_site_type_symbol
_atom_site_fract_x
_atom_site_fract_y
_atom_site_fract_z
La1 La 0.000 0.000 0.000
Pu1 Pu 0.000 0.000 0.500
Pu2 Pu 0.000 0.500 0.750
Mg1 Mg 0.000 0.500 0.250
O1 O 0.206 0.737 0.617
O2 O 0.223 0.750 0.360
# Uncorrected formation energy ... -2.74 eV per atom
# Calculated volume ... 12.741 Å³ per atom
# Raw total energy ... -215.47 eV per cell


9.
# TcHgRh2 PBE-GGA optimized geometry
data_TcHgRh2
_chemical_formula_sum 'Tc2 Hg2 Rh4'
_cell_length_a 3.894
_cell_length_b 3.894
_cell_length_c 8.272
_cell_angle_alpha 90.00
_cell_angle_beta 90.00
_cell_angle_gamma 90.00
_symmetry_space_group_name_H-M 'I -4 m 2'
_symmetry_Int_Tables_number 119
_symmetry_space_group_name_Hall 'I -4 -2'
loop_
_atom_site_label
_atom_site_type_symbol
_atom_site_fract_x
_atom_site_fract_y
_atom_site_fract_z
Tc1 Tc 0.000 0.000 0.000
Hg1 Hg 0.000 0.500 0.750
Rh1 Rh 0.000 0.000 0.500
Rh2 Rh 0.000 0.500 0.250
# Energy relative to the elements ... 1.23 eV per formula unit
# Calculated volume ... 15.678 Å³ per atom
# Raw total energy ... -48.27 eV per cell


10.
# Sr2HSe PBE-GGA optimized geometry
data_Sr2HSe
_chemical_formula_sum 'Sr8 H4 Se4'
_cell_length_a 7.358
_cell_length_b 7.358
_cell_length_c 7.936
_cell_angle_alpha 90.00
_cell_angle_beta 90.00
_cell_angle_gamma 90.00
_symmetry_space_group_name_H-M 'I -4 2 d'
_symmetry_Int_Tables_number 122
_symmetry_space_group_name_Hall 'I -4 2bw'
loop_
_atom_site_label
_atom_site_type_symbol
_atom_site_fract_x
_atom_site_fract_y
_atom_site_fract_z
Sr1 Sr 0.194 0.250 0.125
H1 H 0.000 0.000 0.000
Se1 Se 0.000 0.000 0.500
# Calculated volume ... 26.857 Å³ per atom
# Offset from the most stable computed form ... 0.20 eV per formula unit
# Raw total energy ... -56.75 eV per cell


11.
# K2MgSc PBE-GGA optimized geometry
data_K2MgSc
_chemical_formula_sum 'K4 Mg2 Sc2'
_cell_length_a 6.019
_cell_length_b 6.019
_cell_length_c 8.503
_cell_angle_alpha 90.00
_cell_angle_beta 90.00
_cell_angle_gamma 90.00
_symmetry_space_group_name_H-M 'I -4 m 2'
_symmetry_Int_Tables_number 119
_symmetry_space_group_name_Hall 'I -4 -2'
loop_
_atom_site_label
_atom_site_type_symbol
_atom_site_fract_x
_atom_site_fract_y
_atom_site_fract_z
K1 K 0.000 0.000 0.000
K2 K 0.000 0.500 0.250
Mg1 Mg 0.000 0.000 0.500
Sc1 Sc 0.000 0.500 0.750
# Energy relative to the elements ... 2.25 eV per formula unit
# Calculated volume ... 38.510 Å³ per atom
# Raw total energy ... -15.74 eV per cell


12.
# UTlZn2O8 PBE-GGA optimized geometry
data_UTlZn2O8
_chemical_formula_sum 'U2 Tl2 Zn4 O16'
_cell_length_a 6.747
_cell_length_b 6.747
_cell_length_c 7.207
_cell_angle_alpha 90.00
_cell_angle_beta 90.00
_cell_angle_gamma 90.00
_symmetry_space_group_name_H-M 'I -4 m 2'
_symmetry_Int_Tables_number 119
_symmetry_space_group_name_Hall 'I -4 -2'
loop_
_atom_site_label
_atom_site_type_symbol
_atom_site_fract_x
_atom_site_fract_y
_atom_site_fract_z
U1 U 0.000 0.000 0.000
Tl1 Tl 0.000 0.500 0.750
Zn1 Zn 0.000 0.000 0.500
Zn2 Zn 0.000 0.500 0.250
O1 O 0.000 0.178 0.710
O2 O 0.000 0.295 0.060
# Uncorrected formation energy ... -1.29 eV per atom
# Calculated volume ... 13.669 Å³ per atom
# Raw total energy ... -142.68 eV per cell